First-principles (PBE-GGA) data for a relaxed ScSn2I crystal, as listed in the Alexandria database.

ΔE to the lowest computed polymorph	0.00	eV per formula unit
N(E_F)	14.57	states/eV per cell
formation energy (no corrections)	-0.3	eV/f.u.

Cell lengths 4.2785, 4.2785, 24.8879 Å; angles 90.00, 90.00, 90.00 degrees
Space group I-42d (No. 122)
One atom of each set of equivalent atoms:
Sc (0.0000, 0.0000, 0.0000) [4 per cell]
Sn (0.2362, 0.2500, 0.1250) [8 per cell]
I (0.0000, 0.0000, 0.5000) [4 per cell]



First-principles (PBE-GGA) data for a relaxed LiPm3Nd2Se6 crystal, as listed in the Alexandria database.

N(E_F)	10.96	states/eV per cell
formation energy (no corrections)	-21.6	eV/f.u.

Cell lengths 7.2244, 12.5581, 7.2447 Å; angles 90.00, 109.64, 90.00 degrees
Space group C2/m (No. 12)
One atom of each set of equivalent atoms:
Li (0.0000, 0.0000, 0.0000) [2 per cell]
Pm (0.0000, 0.1681, 0.5000) [4 per cell]
Pm (0.0000, 0.5000, 0.5000) [2 per cell]
Nd (0.0000, 0.3346, 0.0000) [4 per cell]
Se (0.2379, 0.0000, 0.7556) [4 per cell]
Se (0.2416, 0.1605, 0.2449) [8 per cell]



First-principles (PBE-GGA) data for a relaxed Tc2SnSe2 crystal, as listed in the Alexandria database.

N(E_F)	11.77	states/eV per cell
formation energy (no corrections)	1.3	eV/f.u.

Cell lengths 7.5914, 7.5914, 3.1210 Å; angles 90.00, 90.00, 90.00 degrees
Space group P4/mbm (No. 127)
One atom of each set of equivalent atoms:
Tc (0.1357, 0.3643, 0.0000) [4 per cell]
Sn (0.0000, 0.0000, 0.0000) [2 per cell]
Se (0.1400, 0.6400, 0.5000) [4 per cell]



First-principles (PBE-GGA) data for a relaxed Ce4Hg2Ru crystal, as listed in the Alexandria database.

ΔE_f	-0.15	eV/atom
N(E_F)	16.04	states/eV per cell

Cell lengths 6.2639, 3.2789, 9.1949 Å; angles 90.00, 109.64, 90.00 degrees
Space group P2/m (No. 10)
One atom of each set of equivalent atoms:
Ce (0.1042, 0.0000, 0.2773) [2 per cell]
Ce (0.2773, 0.5000, 0.6611) [2 per cell]
Hg (0.2694, 0.5000, 0.0218) [2 per cell]
Ru (0.5000, 0.0000, 0.5000) [1 per cell]



Among the records above, which one has the lowest N(E_F)? LiPm3Nd2Se6



Repeat the third record exactly.
First-principles (PBE-GGA) data for a relaxed Tc2SnSe2 crystal, as listed in the Alexandria database.

N(E_F)	11.77	states/eV per cell
formation energy (no corrections)	1.3	eV/f.u.

Cell lengths 7.5914, 7.5914, 3.1210 Å; angles 90.00, 90.00, 90.00 degrees
Space group P4/mbm (No. 127)
One atom of each set of equivalent atoms:
Tc (0.1357, 0.3643, 0.0000) [4 per cell]
Sn (0.0000, 0.0000, 0.0000) [2 per cell]
Se (0.1400, 0.6400, 0.5000) [4 per cell]



The lowest N(E_F) belongs to which entry? LiPm3Nd2Se6



What is the N(E_F) in the fourth record? 16.04 states/eV per cell